# 1
Density functional theory data (PBE-GGA) for a relaxed GaAg4 crystal.

Geometry as CIF:
```
data_GaAg4
_cell_length_a 4.8475
_cell_length_b 4.8475
_cell_length_c 4.8475
_cell_angle_alpha 90.00
_cell_angle_beta 90.00
_cell_angle_gamma 90.00
_space_group_name_H-M_alt 'P m -3 m'
_space_group_IT_number 221
_space_group_name_Hall '-P 4 2 3'
loop_
_atom_site_label
_atom_site_fract_x
_atom_site_fract_y
_atom_site_fract_z
Ga1 0.0000 0.0000 0.0000
Ag1 0.0000 0.0000 0.5000
Ag2 0.5000 0.5000 0.5000
```

Values from the calculation:
mass density: 7.3 Mg/m³
E_form: 499 meV per atom
Fermi-level density of states: 2.3 states/eV per cell
magnetic moment: 0.000 μB per cell

---

# 2
Density functional theory data (PBE-GGA) for a relaxed K3Rb2USe6 crystal.

Geometry as CIF:
```
data_K3Rb2USe6
_cell_length_a 8.3260
_cell_length_b 14.2214
_cell_length_c 7.8738
_cell_angle_alpha 90.00
_cell_angle_beta 111.65
_cell_angle_gamma 90.00
_space_group_name_H-M_alt 'C 1 2/m 1'
_space_group_IT_number 12
loop_
_space_group_symop_operation_xyz
'x,y,z'
'-x,-y,-z'
'-x,y,-z'
'x,-y,z'
'x+1/2,y+1/2,z'
'-x+1/2,-y+1/2,-z'
'-x+1/2,y+1/2,-z'
'x+1/2,-y+1/2,z'
loop_
_atom_site_label
_atom_site_fract_x
_atom_site_fract_y
_atom_site_fract_z
K1 0.0000 0.0000 0.0000
K2 0.0000 0.3253 0.0000
Rb1 0.0000 0.1657 0.5000
U1 0.0000 0.5000 0.5000
Se1 0.1902 0.5000 0.2871
Se2 0.2074 0.3645 0.7180
```

Values from the calculation:
mass density: 3.8 Mg/m³
raw formation energy: -1.12 eV per atom
Fermi-level density of states: 25.5 states/eV per cell
magnetic moment: 2.201 μB per cell

---

# 3
Density functional theory data (PBE-GGA) for a relaxed FeHg crystal.

Geometry as CIF:
```
data_FeHg
_cell_length_a 5.3254
_cell_length_b 5.3254
_cell_length_c 5.3906
_cell_angle_alpha 90.00
_cell_angle_beta 90.00
_cell_angle_gamma 90.00
_space_group_name_H-M_alt 'P 42/m n m'
_space_group_IT_number 136
_space_group_name_Hall '-P 4n 2n'
loop_
_atom_site_label
_atom_site_fract_x
_atom_site_fract_y
_atom_site_fract_z
Fe1 0.1608 0.1608 0.0000
Hg1 0.1865 0.1865 0.5000
```

Values from the calculation:
mass density: 11.1 Mg/m³
E_form: 713 meV per atom
Fermi-level density of states: 9.0 states/eV per cell
magnetic moment: 11.210 μB per cell

---

# 4
Density functional theory data (PBE-GGA) for a relaxed Pm2SbSe5 crystal.

Geometry as CIF:
```
data_Pm2SbSe5
_cell_length_a 8.1752
_cell_length_b 12.1400
_cell_length_c 4.1425
_cell_angle_alpha 90.00
_cell_angle_beta 90.00
_cell_angle_gamma 90.00
_space_group_name_H-M_alt 'P b a m'
_space_group_IT_number 55
loop_
_space_group_symop_operation_xyz
'x,y,z'
'-x,-y,-z'
'-x,-y,z'
'x,y,-z'
'x+1/2,-y+1/2,-z'
'-x+1/2,y+1/2,z'
'-x+1/2,y+1/2,-z'
'x+1/2,-y+1/2,z'
loop_
_atom_site_label
_atom_site_fract_x
_atom_site_fract_y
_atom_site_fract_z
Pm1 0.0344 0.1743 0.0000
Sb1 0.0000 0.5000 0.5000
Se1 0.0000 0.0000 0.5000
Se2 0.1770 0.4036 0.0000
Se3 0.1792 0.6985 0.5000
```

Values from the calculation:
mass density: 6.5 Mg/m³
E above lowest polymorph: 0.00 eV per formula unit
raw formation energy: -1.25 eV per atom
Fermi-level density of states: 4.9 states/eV per cell
magnetic moment: 0.000 μB per cell

---

# 5
Density functional theory data (PBE-GGA) for a relaxed Pu2CdAu crystal.

Geometry as CIF:
```
data_Pu2CdAu
_cell_length_a 3.9600
_cell_length_b 3.9600
_cell_length_c 6.3264
_cell_angle_alpha 90.00
_cell_angle_beta 90.00
_cell_angle_gamma 90.00
_space_group_name_H-M_alt 'P 4/m m m'
_space_group_IT_number 123
_space_group_name_Hall '-P 4 2'
loop_
_atom_site_label
_atom_site_fract_x
_atom_site_fract_y
_atom_site_fract_z
Pu1 0.0000 0.0000 0.2375
Cd1 0.5000 0.5000 0.5000
Au1 0.5000 0.5000 0.0000
```

Values from the calculation:
mass density: 13.3 Mg/m³
E above lowest polymorph: 0.04 eV per formula unit
E_form: -177 meV per atom
Fermi-level density of states: 15.8 states/eV per cell
magnetic moment: 11.755 μB per cell

---

# 6
Density functional theory data (PBE-GGA) for a relaxed NaV2Rh crystal.

Geometry as CIF:
```
data_NaV2Rh
_cell_length_a 7.1780
_cell_length_b 7.1780
_cell_length_c 5.3463
_cell_angle_alpha 90.00
_cell_angle_beta 90.00
_cell_angle_gamma 90.00
_space_group_name_H-M_alt 'I -4 2 d'
_space_group_IT_number 122
_space_group_name_Hall 'I -4 2bw'
loop_
_atom_site_label
_atom_site_fract_x
_atom_site_fract_y
_atom_site_fract_z
Na1 0.0000 0.0000 0.0000
V1 0.1994 0.2500 0.6250
Rh1 0.0000 0.0000 0.5000
```

Values from the calculation:
mass density: 5.5 Mg/m³
E above lowest polymorph: 0.60 eV per formula unit
E_form: 756 meV per atom
Fermi-level density of states: 20.2 states/eV per cell
magnetic moment: 0.011 μB per cell

---

# 7
Density functional theory data (PBE-GGA) for a relaxed Ce2Zn3Si crystal.

Geometry as CIF:
```
data_Ce2Zn3Si
_cell_length_a 7.3943
_cell_length_b 8.8465
_cell_length_c 15.3018
_cell_angle_alpha 90.00
_cell_angle_beta 90.00
_cell_angle_gamma 90.00
_space_group_name_H-M_alt 'F m m m'
_space_group_IT_number 69
_space_group_name_Hall '-F 2 2'
loop_
_atom_site_label
_atom_site_fract_x
_atom_site_fract_y
_atom_site_fract_z
Ce1 0.2437 0.0000 0.0000
Ce2 0.2500 0.2500 0.2500
Zn1 0.0000 0.0000 0.1684
Zn2 0.0000 0.2458 0.4162
Si1 0.0000 0.0000 0.3339
```

Values from the calculation:
mass density: 6.7 Mg/m³
raw formation energy: -0.39 eV per atom
Fermi-level density of states: 82.7 states/eV per cell
magnetic moment: 14.609 μB per cell

---

# 8
Density functional theory data (PBE-GGA) for a relaxed YTlCu2Sn crystal.

Geometry as CIF:
```
data_YTlCu2Sn
_cell_length_a 4.8558
_cell_length_b 4.8558
_cell_length_c 5.7836
_cell_angle_alpha 90.00
_cell_angle_beta 90.00
_cell_angle_gamma 90.00
_space_group_name_H-M_alt 'P 4/m m m'
_space_group_IT_number 123
_space_group_name_Hall '-P 4 2'
loop_
_atom_site_label
_atom_site_fract_x
_atom_site_fract_y
_atom_site_fract_z
Y1 0.0000 0.0000 0.0000
Tl1 0.0000 0.0000 0.5000
Cu1 0.0000 0.5000 0.5000
Sn1 0.5000 0.5000 0.0000
```

Values from the calculation:
mass density: 6.6 Mg/m³
E_form: 520 meV per atom
Fermi-level density of states: 3.9 states/eV per cell
magnetic moment: 0.000 μB per cell

---

# 9
Density functional theory data (PBE-GGA) for a relaxed K2TeP2 crystal.

Geometry as CIF:
```
data_K2TeP2
_cell_length_a 9.1677
_cell_length_b 9.1677
_cell_length_c 3.6970
_cell_angle_alpha 90.00
_cell_angle_beta 90.00
_cell_angle_gamma 90.00
_space_group_name_H-M_alt 'P 4/m b m'
_space_group_IT_number 127
_space_group_name_Hall '-P 4 2ab'
loop_
_atom_site_label
_atom_site_fract_x
_atom_site_fract_y
_atom_site_fract_z
K1 0.2119 0.2881 0.0000
Te1 0.0000 0.0000 0.5000
P1 0.0759 0.5759 0.5000
```

Values from the calculation:
mass density: 2.9 Mg/m³
raw formation energy: -0.33 eV per atom
Fermi-level density of states: 2.3 states/eV per cell
magnetic moment: 0.000 μB per cell

---

# 10
Density functional theory data (PBE-GGA) for a relaxed Sm4PuFe5 crystal.

Geometry as CIF:
```
data_Sm4PuFe5
_cell_length_a 9.7837
_cell_length_b 9.7837
_cell_length_c 4.4667
_cell_angle_alpha 90.00
_cell_angle_beta 90.00
_cell_angle_gamma 90.00
_space_group_name_H-M_alt 'I 4 m m'
_space_group_IT_number 107
_space_group_name_Hall 'I 4 -2'
loop_
_atom_site_label
_atom_site_fract_x
_atom_site_fract_y
_atom_site_fract_z
Sm1 0.0000 0.2908 0.0000
Pu1 0.0000 0.0000 0.7116
Fe1 0.0000 0.0000 0.2258
Fe2 0.1982 0.1982 0.4627
```

Values from the calculation:
mass density: 8.7 Mg/m³
E_form: 268 meV per atom
Fermi-level density of states: 33.6 states/eV per cell
magnetic moment: 24.443 μB per cell

---

# 11
Density functional theory data (PBE-GGA) for a relaxed PuSi4Ir2 crystal.

Geometry as CIF:
```
data_PuSi4Ir2
_cell_length_a 16.6372
_cell_length_b 4.1549
_cell_length_c 6.4354
_cell_angle_alpha 90.00
_cell_angle_beta 90.00
_cell_angle_gamma 90.00
_space_group_name_H-M_alt 'P n m a'
_space_group_IT_number 62
loop_
_space_group_symop_operation_xyz
'x,y,z'
'-x,-y,-z'
'-x+1/2,-y,z+1/2'
'x+1/2,y,-z+1/2'
'x+1/2,-y+1/2,-z+1/2'
'-x+1/2,y+1/2,z+1/2'
'-x,y+1/2,-z'
'x,-y+1/2,z'
loop_
_atom_site_label
_atom_site_fract_x
_atom_site_fract_y
_atom_site_fract_z
Pu1 0.1412 0.2500 0.0019
Si1 0.0339 0.7500 0.1359
Si2 0.0652 0.2500 0.5355
Si3 0.1835 0.7500 0.6939
Si4 0.1925 0.7500 0.2804
Ir1 0.0331 0.7500 0.7459
Ir2 0.2108 0.2500 0.4863
```

Values from the calculation:
mass density: 11.1 Mg/m³
raw formation energy: -0.69 eV per atom
Fermi-level density of states: 43.2 states/eV per cell
magnetic moment: 20.080 μB per cell

---

# 12
Density functional theory data (PBE-GGA) for a relaxed Cu4Pt4Au crystal.

Geometry as CIF:
```
data_Cu4Pt4Au
_cell_length_a 8.1334
_cell_length_b 8.1334
_cell_length_c 3.9459
_cell_angle_alpha 90.00
_cell_angle_beta 90.00
_cell_angle_gamma 90.00
_space_group_name_H-M_alt 'I 4/m m m'
_space_group_IT_number 139
_space_group_name_Hall '-I 4 2'
loop_
_atom_site_label
_atom_site_fract_x
_atom_site_fract_y
_atom_site_fract_z
Cu1 0.0000 0.3413 0.0000
Pt1 0.1715 0.1715 0.5000
Au1 0.0000 0.0000 0.0000
```

Values from the calculation:
mass density: 15.7 Mg/m³
E_form: -60 meV per atom
Fermi-level density of states: 14.3 states/eV per cell
magnetic moment: 0.000 μB per cell

---

- Look up the Fermi-level density of states of the eighth one.
  3.9 states/eV per cell

---

- What is the formula in the eleventh record?
  PuSi4Ir2